## Ac2CoSO8 (PBE with a Hubbard U)

Data for a relaxed structure of Ac2CoSO8.

Unit cell a=6.6364 b=6.6364 c=4.7312 alpha=90.00 beta=90.00 gamma=120.00
Fractional coordinates of all 12 atoms:
Ac1 0.3333 0.6667 0.2290
Ac2 0.6667 0.3333 0.7710
Co1 0.0000 0.0000 0.5000
S1 0.0000 0.0000 0.0000
O1 0.1155 0.2310 0.2159
O2 0.1155 0.8845 0.2159
O3 0.2310 0.1155 0.7841
O4 0.3333 0.6667 0.7285
O5 0.6667 0.3333 0.2715
O6 0.7690 0.8845 0.2159
O7 0.8845 0.1155 0.7841
O8 0.8845 0.7690 0.7841

**Total energy**: -0.237 hartree per atom